Material: BaMg6Zn4
Method: DFT, PBE-GGA
State: optimized geometry

Lattice parameters (Å, degrees): 7.8637 7.8637 4.5743 90.00 90.00 120.00
Closest atoms and distances in Å follow each position.
Space group P-6m2 (No. 187)
Symmetry-distinct sites (fractional):
Ba: 0.0000 0.0000 0.0000 [1 per cell]  12 Mg 3.60-3.96, 6 Zn 3.71
Mg: 0.2038 0.4075 0.5000 [3 per cell]  4 Zn 2.85-2.89, 2 Mg 3.06
Mg: 0.5331 0.0663 0.0000 [3 per cell]  5 Zn 2.72-2.87
Zn: 0.3333 0.6667 0.0000 [1 per cell]  9 Mg 2.72-2.89
Zn: 0.4288 0.2144 0.5000 [3 per cell]  2 Zn 2.81, 6 Mg 2.85-2.87

Density of states at the Fermi level, states/eV/cell: 4.92
E, eV for the cell shown: -18.118
E_form, meV per atom: -139

=====

Material: PaTiP2N
Method: DFT, PBE-GGA
State: optimized geometry

Lattice parameters (Å, degrees): 3.7152 3.7152 12.2327 90.00 90.00 90.00
Closest atoms and distances in Å follow each position.
Space group P4/nmm (No. 129, origin choice 2)
Symmetry-distinct sites (fractional):
Pa: 0.2500 0.2500 0.1053 [2 per cell]  4 N 2.26
Ti: 0.2500 0.2500 0.5941 [2 per cell]  6 P 2.38-2.63
P: 0.2500 0.2500 0.3895 [2 per cell]  5 Ti 2.50-2.63
P: 0.2500 0.2500 0.7887 [2 per cell]  1 Ti 2.38
N: 0.2500 0.7500 0.0000 [2 per cell]  4 Pa 2.26

Density of states at the Fermi level, states/eV/cell: 2.40
Formation energy without anion corrections, eV/atom: -1.168
E, eV for the cell shown: -84.752

=====

Material: Y3MgI
Method: DFT, PBE-GGA
State: optimized geometry

Lattice parameters (Å, degrees): 5.6239 5.6239 5.6239 90.00 90.00 90.00
Closest atoms and distances in Å follow each position.
Space group Pm-3m (No. 221)
Symmetry-distinct sites (fractional):
Y: 0.0000 0.0000 0.5000 [3 per cell]  2 I 2.81
Mg: 0.5000 0.5000 0.5000 [1 per cell]  12 Y 3.98
I: 0.0000 0.0000 0.0000 [1 per cell]  6 Y 2.81

Polymorph energy (0 for the lowest one), meV/atom: 0
Density of states at the Fermi level, states/eV/cell: 2.25
Formation energy without anion corrections, eV/atom: 0.181
E, eV for the cell shown: -21.632

=====

| no. | ρ (g cm⁻³) |
| --- | --- |
| 1 | 3.7 |
| 2 | 7.0 |
| 3 | 3.9 |